Computed, not measured: a relaxed CuTcHg2 crystal at the PBE level of DFT.

a b c (Å): 9.893 9.893 9.893
angles (deg): 16.97 16.97 16.97
Sites, in units of the cell vectors:
Tc 0.492 0.492 0.492
Cu 0.757 0.757 0.757
Hg 0.010 0.010 0.010
Hg 0.241 0.241 0.241

* polymorph energy (0 for the lowest one): 5 meV per atom
* symmetry: R3m (160)
* formation energy from the elements: 474 meV/atom

***

Computed, not measured: a relaxed CuTcHg2 crystal at the PBE level of DFT.

a b c (Å): 5.525 5.525 5.525
angles (deg): 148.60 126.73 63.15
Sites, in units of the cell vectors:
Hg 0.016 0.016 0.000
Hg 0.484 0.484 0.000
Cu 0.250 0.750 0.500
Tc 0.750 0.250 0.500

* polymorph energy (0 for the lowest one): 165 meV per atom
* symmetry: Immm (71)
* formation energy from the elements: 634 meV/atom

***

Computed, not measured: a relaxed Cu2TcHg crystal at the PBE level of DFT.

a b c (Å): 3.737 2.760 6.467
angles (deg): 64.63 90.00 90.00
Sites, in units of the cell vectors:
Cu 0.000 0.470 0.530
Cu 0.000 0.030 0.970
Tc 0.500 0.750 0.750
Hg 0.500 0.250 0.250

* symmetry: P2/m (10)
* formation energy from the elements: 389 meV/atom

***

Computed, not measured: a relaxed CuTcHg2 crystal at the PBE level of DFT.

a b c (Å): 5.748 5.748 5.748
angles (deg): 150.94 129.68 59.16
Sites, in units of the cell vectors:
Tc 0.482 0.482 0.000
Cu 0.264 0.764 0.500
Hg 0.014 0.014 0.000
Hg 0.739 0.239 0.500

* polymorph energy (0 for the lowest one): 68 meV per atom
* symmetry: Imm2 (44)
* formation energy from the elements: 537 meV/atom

***

Computed, not measured: a relaxed Cu2TcHg crystal at the PBE level of DFT.

a b c (Å): 2.757 2.757 7.910
angles (deg): 90.00 90.00 90.00
Sites, in units of the cell vectors:
Tc 0.500 0.500 0.750
Cu 0.000 0.000 0.519
Cu 0.000 0.000 0.981
Hg 0.500 0.500 0.250

* symmetry: P4/mmm (123)
* formation energy from the elements: 331 meV/atom

***

Computed, not measured: a relaxed Tl2CuTcHg crystal at the PBE level of DFT.

a b c (Å): 5.427 4.707 5.427
angles (deg): 90.00 90.00 90.00
Sites, in units of the cell vectors:
Hg 0.500 0.500 0.500
Tl 0.500 0.000 0.000
Tl 0.000 0.000 0.500
Cu 0.000 0.500 0.000
Tc 0.000 0.000 0.000

* symmetry: P4/mmm (123)
* formation energy from the elements: 727 meV/atom

***

Computed, not measured: a relaxed CuHg3Te crystal at the PBE level of DFT.

a b c (Å): 5.858 5.858 5.858
angles (deg): 90.00 90.00 90.00
Sites, in units of the cell vectors:
Te 0.000 0.000 0.000
Hg 0.000 0.500 0.000
Hg 0.000 0.000 0.500
Hg 0.500 0.000 0.000
Cu 0.500 0.500 0.500

* polymorph energy (0 for the lowest one): 404 meV per atom
* symmetry: Pm-3m (221)
* energy relative to the elements, uncorrected: 3.304 eV/f.u.

***

Computed, not measured: a relaxed Cu2Hg2Te crystal at the PBE level of DFT.

a b c (Å): 8.286 8.286 2.983
angles (deg): 90.00 90.00 90.00
Sites, in units of the cell vectors:
Te 0.500 0.500 0.000
Te 0.000 0.000 0.000
Hg 0.819 0.681 0.000
Hg 0.181 0.319 0.000
Hg 0.681 0.181 0.000
Hg 0.319 0.819 0.000
Cu 0.893 0.393 0.500
Cu 0.107 0.607 0.500
Cu 0.393 0.107 0.500
Cu 0.607 0.893 0.500

* polymorph energy (0 for the lowest one): 84 meV per atom
* symmetry: P4/mbm (127)
* energy relative to the elements, uncorrected: 1.429 eV/f.u.

***

| no. | DOS at the Fermi energy (states/eV/cell) |
| --- | --- |
| 1 | 3.82 |
| 2 | 2.24 |
| 3 | 3.82 |
| 4 | 2.56 |
| 5 | 2.09 |
| 6 | 4.69 |
| 7 | 0.82 |
| 8 | 3.82 |